1.
A relaxed Sc2Zn2Au crystal, computed with PBE.

The space group is I4mm (No. 107) and the conventional cell measures 3.395, 3.395 and 15.808 Å, with angles of 90.00, 90.00 and 90.00 degrees. The distinct sites, in fractional coordinates, are Sc at (0.000, 0.000, 0.000), Sc at (0.000, 0.000, 0.205), Zn at (0.000, 0.000, 0.604), Zn at (0.000, 0.000, 0.808) and Au at (0.000, 0.000, 0.399).

The excess energy over the best structure of this formula in the dataset is 0 meV/atom. The energy of formation from the pure elements comes out at -0.5084 eV/atom. The value obtained for the calculated volume is 18.2 A^3/atom. The calculation puts the total energy at -4.21 eV/atom.

---

2.
A relaxed Ca6MgIn crystal, computed with PBE.

The space group is I4/mmm (No. 139) and the conventional cell measures 5.514, 5.514 and 18.826 Å, with angles of 90.00, 90.00 and 90.00 degrees. The distinct sites, in fractional coordinates, are Ca at (0.000, 0.000, 0.249), Ca at (0.000, 0.500, 0.102), Mg at (0.000, 0.000, 0.000) and In at (0.000, 0.000, 0.500).

The energy of formation from the pure elements comes out at -0.1498 eV/atom. The value obtained for the calculated volume is 35.8 A^3/atom. The calculation puts the total energy at -2.19 eV/atom.

---

3.
A relaxed Nd2Ni4S5 crystal, computed with PBE.

The space group is R-3m (No. 166, hexagonal axes) and the conventional cell measures 3.8010, 3.8010 and 47.0103 Å, with angles of 90.00, 90.00 and 120.00 degrees. The distinct sites, in fractional coordinates, are Nd at (0.0000, 0.0000, 0.1263), Ni at (0.0000, 0.0000, 0.3177), Ni at (0.0000, 0.0000, 0.4131), S at (0.0000, 0.0000, 0.2436), S at (0.0000, 0.0000, 0.3649) and S at (0.0000, 0.0000, 0.5000).

The value obtained for the calculated volume is 17.8 A^3/atom. The calculation puts the total energy at -5.82 eV/atom.

---

4.
A relaxed CuTcP crystal, computed with PBE.

The space group is Pmn2_1 (No. 31) and the conventional cell measures 3.743, 5.217 and 4.446 Å, with angles of 90.00, 90.00 and 90.00 degrees. The distinct sites, in fractional coordinates, are Cu at (0.000, 0.079, 0.000), Tc at (0.000, 0.562, 0.234) and P at (0.000, 0.712, 0.736).

The excess energy over the best structure of this formula in the dataset is 38 meV/atom. The energy of formation from the pure elements comes out at -0.2297 eV/atom. The value obtained for the calculated volume is 14.5 A^3/atom. The calculation puts the total energy at -6.85 eV/atom.

---

5.
A relaxed La2TbDy2Ho2 crystal, computed with PBE.

The space group is C2/m (No. 12) and the conventional cell measures 11.805, 3.528 and 11.927 Å, with angles of 90.00, 109.00 and 90.00 degrees. The distinct sites, in fractional coordinates, are La at (0.172, 0.000, 0.084), Tb at (0.000, 0.500, 0.500), Dy at (0.227, 0.500, 0.366) and Ho at (0.049, 0.000, 0.767).

The energy of formation from the pure elements comes out at 0.0847 eV/atom. The value obtained for the calculated volume is 33.5 A^3/atom. The calculation puts the total energy at -4.61 eV/atom.

---

6.
A relaxed Tb2RhAu6 crystal, computed with PBE.

The space group is C2/m (No. 12) and the conventional cell measures 13.482, 3.984 and 7.070 Å, with angles of 90.00, 112.24 and 90.00 degrees. The distinct sites, in fractional coordinates, are Tb at (0.058, 0.000, 0.306), Rh at (0.000, 0.500, 0.000), Au at (0.105, 0.500, 0.671), Au at (0.168, 0.000, 0.007) and Au at (0.229, 0.500, 0.332).

The energy of formation from the pure elements comes out at -0.5772 eV/atom. The value obtained for the calculated volume is 19.5 A^3/atom. The calculation puts the total energy at -4.61 eV/atom.

---

7.
A relaxed Mg5CdSn3 crystal, computed with PBE.

The space group is P6_3/mcm (No. 193) and the conventional cell measures 8.9162, 8.9162 and 6.1188 Å, with angles of 90.00, 90.00 and 120.00 degrees. The distinct sites, in fractional coordinates, are Mg at (0.0000, 0.2914, 0.2500), Mg at (0.3333, 0.6667, 0.0000), Cd at (0.0000, 0.0000, 0.0000) and Sn at (0.0000, 0.3796, 0.7500).

The energy of formation from the pure elements comes out at -0.1010 eV/atom. The value obtained for the calculated volume is 23.4 A^3/atom. The calculation puts the total energy at -2.42 eV/atom.

---

8.
A relaxed TaBeOs crystal, computed with PBE.

The space group is P3m1 (No. 156) and the conventional cell measures 4.1466, 4.1466 and 2.8823 Å, with angles of 90.00, 90.00 and 120.00 degrees. The distinct sites, in fractional coordinates, are Ta at (0.0000, 0.0000, 0.0000), Be at (0.6667, 0.3333, 0.5220) and Os at (0.3333, 0.6667, 0.6056).

The excess energy over the best structure of this formula in the dataset is 374 meV/atom. The energy of formation from the pure elements comes out at -0.1243 eV/atom. The value obtained for the calculated volume is 14.3 A^3/atom. The calculation puts the total energy at -9.06 eV/atom.

---

9.
A relaxed PrHfGa2 crystal, computed with PBE.

The space group is R-3m (No. 166, hexagonal axes) and the conventional cell measures 4.4886, 4.4886 and 16.5082 Å, with angles of 90.00, 90.00 and 120.00 degrees. The distinct sites, in fractional coordinates, are Pr at (0.0000, 0.0000, 0.0000), Hf at (0.0000, 0.0000, 0.5000) and Ga at (0.0000, 0.0000, 0.2266).

The excess energy over the best structure of this formula in the dataset is 67 meV/atom. The energy of formation from the pure elements comes out at -0.3401 eV/atom. The value obtained for the calculated volume is 24.0 A^3/atom. The calculation puts the total energy at -5.54 eV/atom.

---

10.
A relaxed CaFeP2 crystal, computed with PBE.

The space group is Pmmm (No. 47) and the conventional cell measures 3.734, 4.169 and 4.700 Å, with angles of 90.00, 90.00 and 90.00 degrees. The distinct sites, in fractional coordinates, are Ca at (0.000, 0.000, 0.000), Fe at (0.000, 0.500, 0.500) and P at (0.500, 0.500, 0.236).

The excess energy over the best structure of this formula in the dataset is 107 meV/atom. The energy of formation from the pure elements comes out at -0.5335 eV/atom. The value obtained for the calculated volume is 18.3 A^3/atom. The calculation puts the total energy at -5.85 eV/atom.

---

11.
A relaxed Pr5Dy2Y5 crystal, computed with PBE.

The space group is C2/m (No. 12) and the conventional cell measures 17.371, 5.710 and 9.942 Å, with angles of 90.00, 124.87 and 90.00 degrees. The distinct sites, in fractional coordinates, are Pr at (0.000, 0.000, 0.000), Pr at (0.125, 0.000, 0.458), Pr at (0.125, 0.000, 0.785), Dy at (0.127, 0.500, 0.298), Y at (0.000, 0.500, 0.500), Y at (0.126, 0.500, 0.960) and Y at (0.249, 0.000, 0.248).

The excess energy over the best structure of this formula in the dataset is 0 meV/atom. The energy of formation from the pure elements comes out at 0.0569 eV/atom. The value obtained for the calculated volume is 33.7 A^3/atom. The calculation puts the total energy at -5.39 eV/atom.

---

12.
A relaxed Si2OsPb crystal, computed with PBE.

The space group is R-3m (No. 166, hexagonal axes) and the conventional cell measures 3.0958, 3.0958 and 27.4289 Å, with angles of 90.00, 90.00 and 120.00 degrees. The distinct sites, in fractional coordinates, are Si at (0.0000, 0.0000, 0.2302), Os at (0.0000, 0.0000, 0.5000) and Pb at (0.0000, 0.0000, 0.0000).

The value obtained for the calculated volume is 19.0 A^3/atom. The calculation puts the total energy at -6.20 eV/atom.